Arrangement w

The following is a DFT calculation (PBE) of TbTl2Cd after structural relaxation.

Theoretical density, kg/m3: 10635
Total magnetic moment, μB/f.u.: 0.00

Unit cell a=3.712 b=3.712 c=7.707 alpha=90.00 beta=90.00 gamma=90.00
Positions (direct):
Tl1 0.000 0.000 0.262
Tl2 0.000 0.000 0.738
Tb1 0.500 0.500 0.000
Cd1 0.500 0.500 0.500


Arrangement x

The following is a DFT calculation (PBE) of TbTl2Cd after structural relaxation.

Theoretical density, kg/m3: 9578
Total magnetic moment, μB/f.u.: 0.00

Unit cell a=4.434 b=4.434 c=7.384 alpha=72.53 beta=72.53 gamma=60.00
Positions (direct):
Cd1 0.498 0.498 0.505
Tb1 0.669 0.669 0.992
Tl1 0.243 0.243 0.272
Tl2 0.090 0.090 0.731


Arrangement y

The following is a DFT calculation (PBE) of TbTl2Cd after structural relaxation.

Theoretical density, kg/m3: 10541
Total magnetic moment, μB/f.u.: 0.00

Unit cell a=4.915 b=4.915 c=5.854 alpha=65.18 beta=65.18 gamma=60.00
Positions (direct):
Tl1 0.240 0.240 0.279
Tb1 0.000 0.000 0.000
Cd1 0.500 0.500 0.500
Tl2 0.760 0.760 0.721


Arrangement z

The following is a DFT calculation (PBE) of TbTl2Cd after structural relaxation.

Theoretical density, kg/m3: 10913
Total magnetic moment, μB/f.u.: 0.00

Unit cell a=4.579 b=4.754 c=4.754 alpha=90.00 beta=90.00 gamma=90.00
Positions (direct):
Tl1 0.000 0.000 0.500
Tl2 0.000 0.500 0.000
Cd1 0.500 0.000 0.000
Tb1 0.500 0.500 0.500


Result of the stability comparison: arrangement z is the most stable of them.


Arrangement w

The following is a DFT calculation (PBE) of Tb8Tl2Cd after structural relaxation.

Theoretical density, kg/m3: 9038
Total magnetic moment, μB/f.u.: 0.00

Unit cell a=5.238 b=7.075 c=9.370 alpha=98.59 beta=106.23 gamma=90.00
Positions (direct):
Tb1 0.663 0.938 0.326
Tb2 0.590 0.445 0.179
Tb3 0.410 0.555 0.821
Tb4 0.337 0.062 0.674
Cd1 0.500 0.000 0.000
Tl1 0.792 0.281 0.584
Tl2 0.208 0.719 0.416
Tb5 0.969 0.255 0.938
Tb6 0.820 0.726 0.640
Tb7 0.031 0.745 0.062
Tb8 0.180 0.274 0.360


Arrangement x

The following is a DFT calculation (PBE) of Tb8Tl2Cd after structural relaxation.

Theoretical density, kg/m3: 9179
Total magnetic moment, μB/f.u.: 0.00

Unit cell a=5.378 b=8.619 c=8.610 alpha=119.49 beta=108.20 gamma=90.00
Positions (direct):
Tb1 0.590 0.448 0.180
Tb2 0.321 0.057 0.641
Tb3 0.410 0.552 0.820
Tl1 0.773 0.375 0.546
Tb4 0.934 0.281 0.868
Tb5 0.066 0.719 0.132
Tb6 0.135 0.180 0.269
Tl2 0.227 0.625 0.454
Tb7 0.679 0.943 0.359
Cd1 0.500 0.000 0.000
Tb8 0.865 0.820 0.731


Result of the stability comparison: arrangement x is the most stable of them.


Arrangement w

The following is a DFT calculation (PBE) of Tb3Tl3Cd2 after structural relaxation.

Theoretical density, kg/m3: 10064
Total magnetic moment, μB/f.u.: 0.00

Unit cell a=6.149 b=9.026 c=9.026 alpha=120.00 beta=90.00 gamma=90.00
Positions (direct):
Cd1 0.000 0.333 0.667
Tl1 0.250 0.394 0.000
Cd2 0.500 0.333 0.667
Tb1 0.750 0.246 0.000
Tl2 0.250 0.000 0.394
Cd3 0.500 0.667 0.333
Cd4 0.000 0.667 0.333
Tb2 0.750 0.000 0.246
Tl3 0.250 0.606 0.606
Tl4 0.750 0.394 0.394
Tb3 0.750 0.754 0.754
Tb4 0.250 0.754 0.000
Tl5 0.750 0.606 0.000
Tb5 0.250 0.000 0.754
Tb6 0.250 0.246 0.246
Tl6 0.750 0.000 0.606


Arrangement x

The following is a DFT calculation (PBE) of Tb3Tl3Cd2 after structural relaxation.

Theoretical density, kg/m3: 10009
Total magnetic moment, μB/f.u.: 0.00

Unit cell a=3.636 b=8.324 c=8.324 alpha=120.00 beta=90.00 gamma=90.00
Positions (direct):
Cd1 0.000 0.333 0.667
Tb1 0.500 0.000 0.629
Tb2 0.500 0.371 0.371
Tl1 0.000 0.254 0.000
Tb3 0.500 0.629 0.000
Tl2 0.000 0.746 0.746
Tl3 0.000 0.000 0.254
Cd2 0.000 0.667 0.333


Result of the stability comparison: arrangement x is the most stable of them.


Arrangement w

The following is a DFT calculation (PBE) of Tb3Tl3Cd after structural relaxation.

Theoretical density, kg/m3: 10222
Total magnetic moment, μB/f.u.: 0.00

Unit cell a=4.720 b=6.241 c=14.554 alpha=82.68 beta=80.67 gamma=67.78
Positions (direct):
Tb1 0.271 0.239 0.219
Cd1 0.237 0.900 0.625
Tb2 0.470 0.681 0.379
Tb3 0.600 0.723 0.077
Tb4 0.530 0.319 0.621
Tl1 0.137 0.269 0.458
Tl2 0.004 0.220 0.772
Tb5 0.400 0.277 0.923
Tl3 0.874 0.178 0.073
Tl4 0.996 0.780 0.228
Tl5 0.863 0.731 0.542
Tl6 0.126 0.822 0.927
Cd2 0.763 0.100 0.375
Tb6 0.729 0.761 0.781


Arrangement x

The following is a DFT calculation (PBE) of Tb3Tl3Cd after structural relaxation.

Theoretical density, kg/m3: 10270
Total magnetic moment, μB/f.u.: 0.00

Unit cell a=5.441 b=9.083 c=9.083 alpha=120.00 beta=90.00 gamma=90.00
Positions (direct):
Tl1 0.250 0.804 0.751
Tb1 0.750 0.900 0.353
Tb2 0.250 0.548 0.900
Cd1 0.750 0.333 0.667
Tb3 0.750 0.647 0.548
Tb4 0.250 0.353 0.452
Cd2 0.250 0.667 0.333
Tb5 0.750 0.452 0.100
Tl2 0.250 0.947 0.196
Tb6 0.250 0.100 0.647
Tl3 0.250 0.249 0.053
Tl4 0.750 0.053 0.804
Tl5 0.750 0.196 0.249
Tl6 0.750 0.751 0.947


Result of the stability comparison: arrangement w is the most stable of them.